Ba3TmP3 | GGA-PBE | optimized geometry

abc: 9.3239 8.1569 12.9962
angles: 90.00 94.40 90.00
Element x y z (fractional)
1 Ba 0.0788 0.1541 0.1377
2 Ba 0.0788 0.3459 0.6377
3 Ba 0.3389 0.7313 0.7986
4 Ba 0.3389 0.7687 0.2986
5 Ba 0.3909 0.2270 0.9243
6 Ba 0.3909 0.2730 0.4243
7 Ba 0.6091 0.7270 0.5757
8 Ba 0.6091 0.7730 0.0757
9 Ba 0.6611 0.2313 0.7014
10 Ba 0.6611 0.2687 0.2014
11 Ba 0.9212 0.6541 0.3623
12 Ba 0.9212 0.8459 0.8623
13 Tm 0.1619 0.5936 0.0579
14 Tm 0.1619 0.9064 0.5579
15 Tm 0.8381 0.0936 0.4421
16 Tm 0.8381 0.4064 0.9421
17 P 0.1014 0.0417 0.3717
18 P 0.1014 0.4583 0.8717
19 P 0.2630 0.6086 0.5207
20 P 0.2630 0.8914 0.0207
21 P 0.3577 0.0806 0.6687
22 P 0.3577 0.4194 0.1687
23 P 0.6423 0.5806 0.8313
24 P 0.6423 0.9194 0.3313
25 P 0.7370 0.1086 0.9793
26 P 0.7370 0.3914 0.4793
27 P 0.8986 0.5417 0.1283
28 P 0.8986 0.9583 0.6283

Calculated values
Final energy, eV/atom: -4.903
Space-group type: P2_1/c, No. 14